GeMoIO2 | PBE+U | relaxed

Cell: 3.963 3.963 6.177 Å, 90.00 90.00 90.00°
Space group P4/mmm (No. 123)
One atom of each set of equivalent atoms:
Ge 0.000 0.000 0.000 [1 per cell]
Mo 0.500 0.500 0.500 [1 per cell]
I 0.000 0.000 0.500 [1 per cell]
O 0.000 0.500 0.000 [2 per cell]

Computed properties:
As for the crystal system: tetragonal. The value obtained for the excess energy over the best structure of this formula in the dataset is 0.374 eV/atom. The calculation puts the total magnetic moment at 4.719 μB per cell. The value obtained for the calculated density is 5.6 g/cm³. The value obtained for the total energy is -23.32 eV per formula unit.